Below is a relaxed structure of MnInTeO6, with properties calculated at the PBE+U level.

- size of the total moment (μB/f.u.) = 4.000
- total DFT energy (no corrections) (eV per atom) = -6.09

Cell: 4.845 4.845 9.355 Å, 90.00 90.00 90.00°
Each line ends with the local moment (μB).
Fractional positions:
1 Mn 0.500 0.500 0.502  3.94
2 Mn 0.000 0.000 0.002  3.94
3 In 0.500 0.500 0.169  0.01
4 In 0.000 0.000 0.669  0.01
5 Te 0.500 0.500 0.836  0.03
6 Te 0.000 0.000 0.336  0.03
7 O 0.192 0.808 0.485  0.03
8 O 0.808 0.192 0.485  0.03
9 O 0.308 0.308 0.985  0.03
10 O 0.692 0.692 0.985  0.03
11 O 0.178 0.822 0.170  -0.05
12 O 0.822 0.178 0.170  -0.05
13 O 0.322 0.322 0.670  -0.05
14 O 0.678 0.678 0.670  -0.05
15 O 0.793 0.207 0.842  -0.02
16 O 0.207 0.793 0.842  -0.02
17 O 0.707 0.707 0.342  -0.02
18 O 0.293 0.293 0.342  -0.02